DFT (PBE) results for a geometry-optimized TcIrAu2 structure.

## Properties
Symmetry: P4mm
Energy above the lowest structure with this stoichiometry in meV per atom: 0
Formation energy in eV/atom: 0.0755

abc: 2.818 2.818 8.219
angles: 90.00 90.00 90.00
Atoms (fractional coordinates):
Au1 0.000 0.000 0.986
Au2 0.500 0.500 0.260
Ir1 0.000 0.000 0.525
Tc1 0.500 0.500 0.729

***

DFT (PBE) results for a geometry-optimized TcIr2Au2 structure.

## Properties
Symmetry: I4/mmm
Energy above the lowest structure with this stoichiometry in meV per atom: 21
Formation energy in eV/atom: 0.8964

abc: 3.619 3.619 7.433
angles: 75.91 75.91 90.00
Last column: magnetic moment on the atom in μB.
Atoms (fractional coordinates):
Ir1 0.750 0.250 0.500  0.21
Ir2 0.250 0.750 0.500  0.21
Au1 0.403 0.403 0.195  0.12
Au2 0.597 0.597 0.805  0.12
Tc1 0.000 0.000 0.000  3.01

***

DFT (PBE) results for a geometry-optimized TcIrAu2 structure.

## Properties
Symmetry: Cm
Energy above the lowest structure with this stoichiometry in meV per atom: 212
Formation energy in eV/atom: 0.2871

abc: 4.846 4.846 5.023
angles: 81.03 81.03 33.77
Atoms (fractional coordinates):
Au1 0.003 0.003 0.007
Au2 0.247 0.247 0.242
Ir1 0.493 0.493 0.533
Tc1 0.756 0.756 0.718

***

DFT (PBE) results for a geometry-optimized TcIrAu2 structure.

## Properties
Symmetry: Fm-3m
Energy above the lowest structure with this stoichiometry in meV per atom: 489
Formation energy in eV/atom: 0.5648

abc: 4.507 4.507 4.507
angles: 60.00 60.00 60.00
Atoms (fractional coordinates):
Ir1 0.500 0.500 0.500
Au1 0.250 0.250 0.250
Au2 0.750 0.750 0.750
Tc1 0.000 0.000 0.000

***

DFT (PBE) results for a geometry-optimized TcIrAu2 structure.

## Properties
Symmetry: Pmm2
Energy above the lowest structure with this stoichiometry in meV per atom: 111
Formation energy in eV/atom: 0.1861

abc: 3.890 2.831 6.553
angles: 64.45 90.00 90.00
Atoms (fractional coordinates):
Au1 0.000 0.006 0.995
Au2 0.500 0.247 0.254
Ir1 0.000 0.469 0.531
Tc1 0.500 0.779 0.721

***

DFT (PBE) results for a geometry-optimized Tc2Ir2Au structure.

## Properties
Symmetry: P4/mbm
Energy above the lowest structure with this stoichiometry in meV per atom: 0
Formation energy in eV/atom: 0.1207

abc: 7.622 7.622 2.735
angles: 90.00 90.00 90.00
Atoms (fractional coordinates):
Ir1 0.377 0.877 0.000
Ir2 0.877 0.623 0.000
Ir3 0.623 0.123 0.000
Ir4 0.123 0.377 0.000
Au1 0.000 0.000 0.000
Au2 0.500 0.500 0.000
Tc1 0.171 0.671 0.500
Tc2 0.671 0.829 0.500
Tc3 0.829 0.329 0.500
Tc4 0.329 0.171 0.500

***

DFT (PBE) results for a geometry-optimized TcIrAu2 structure.

## Properties
Symmetry: Immm
Energy above the lowest structure with this stoichiometry in meV per atom: 398
Formation energy in eV/atom: 0.4740

abc: 5.648 5.648 5.648
angles: 151.36 129.56 59.03
Last column: magnetic moment on the atom in μB.
Atoms (fractional coordinates):
Au1 0.000 0.000 0.000  0.04
Au2 0.500 0.500 0.000  0.04
Ir1 0.750 0.250 0.500  0.18
Tc1 0.250 0.750 0.500  0.89

***

DFT (PBE) results for a geometry-optimized TcIrAu2 structure.

## Properties
Symmetry: C2/m
Energy above the lowest structure with this stoichiometry in meV per atom: 294
Formation energy in eV/atom: 0.3695

abc: 4.925 4.925 4.901
angles: 80.76 80.76 33.25
Atoms (fractional coordinates):
Au1 0.002 0.002 0.998
Au2 0.498 0.498 0.502
Ir1 0.250 0.250 0.250
Tc1 0.750 0.750 0.750

***

DFT (PBE) results for a geometry-optimized TcIrAu structure.

## Properties
Symmetry: Fmm2
Energy above the lowest structure with this stoichiometry in meV per atom: 270
Formation energy in eV/atom: 0.3540

abc: 7.667 7.425 2.749
angles: 84.52 74.57 20.91
Last column: magnetic moment on the atom in μB.
Atoms (fractional coordinates):
Au1 0.999 0.999 0.001  0.01
Ir1 0.676 0.676 0.324  0.05
Tc1 0.325 0.325 0.675  0.20

***

DFT (PBE) results for a geometry-optimized TcIrAu4 structure.

## Properties
Symmetry: F-43m
Formation energy in eV/atom: 0.7807

abc: 5.371 5.371 5.371
angles: 60.00 60.00 60.00
Last column: magnetic moment on the atom in μB.
Atoms (fractional coordinates):
Tc1 0.000 0.000 0.000  2.87
Ir1 0.750 0.750 0.750  0.28
Au1 0.875 0.375 0.375  0.05
Au2 0.375 0.375 0.875  0.05
Au3 0.375 0.875 0.375  0.05
Au4 0.375 0.375 0.375  0.05

***

DFT (PBE) results for a geometry-optimized TcIrAu2 structure.

## Properties
Symmetry: P4/mmm
Energy above the lowest structure with this stoichiometry in meV per atom: 444
Formation energy in eV/atom: 0.5197

abc: 3.941 3.941 4.203
angles: 90.00 90.00 90.00
Last column: magnetic moment on the atom in μB.
Atoms (fractional coordinates):
Au1 0.000 0.000 0.000  0.06
Au2 0.500 0.500 0.000  0.06
Ir1 0.500 0.000 0.500  0.46
Tc1 0.000 0.500 0.500  1.43

***

DFT (PBE) results for a geometry-optimized TcIrAu structure.

## Properties
Symmetry: P-6m2
Energy above the lowest structure with this stoichiometry in meV per atom: 322
Formation energy in eV/atom: 0.4065

abc: 4.489 4.489 2.708
angles: 90.00 90.00 120.00
Atoms (fractional coordinates):
Au1 0.000 0.000 0.167
Ir1 0.333 0.667 0.166
Tc1 0.667 0.333 0.666

***

Number 1: calculated volume 16.3 A^3/atom. Number 2: calculated volume 18.3 A^3/atom. Number 3: calculated volume 16.2 A^3/atom. Number 4: calculated volume 16.2 A^3/atom. Number 5: calculated volume 16.3 A^3/atom. Number 6: calculated volume 15.9 A^3/atom. Number 7: calculated volume 16.5 A^3/atom. Number 8: calculated volume 16.1 A^3/atom. Number 9: calculated volume 16.1 A^3/atom. Number 10: calculated volume 18.3 A^3/atom. Number 11: calculated volume 16.3 A^3/atom. Number 12: calculated volume 15.8 A^3/atom.